1.
BaMn2Ni: relaxed, PBE.

abc: 6.413 6.413 6.413
angles: 38.68 38.68 38.68
Fractional positions:
Ba  0.000  0.000  0.000
Mn  0.196  0.196  0.196
Mn  0.804  0.804  0.804
Ni  0.500  0.500  0.500

Calculated values
Raw total energy   -6.18 eV/atom
Total magnetization   7.744 μB/f.u.
V   23.14 Å³ per atom
E_form   0.33 eV/atom

2.
Mg2MnHPt: relaxed, PBE.

abc: 4.374 4.374 3.450
angles: 90.00 90.00 90.00
Fractional positions:
Mg  0.000  0.500  0.000
Mg  0.500  0.000  0.000
Mn  0.000  0.000  0.500
H  0.000  0.000  0.000
Pt  0.500  0.500  0.500

Calculated values
Raw total energy   -4.65 eV/atom
Total magnetization   2.970 μB/f.u.
V   13.21 Å³ per atom